The following is a DFT calculation (GGA-PBE) of ScNb3Tc4 after structural relaxation.

abc: 4.520 4.520 6.415
angles: 90.00 90.00 90.00
Atoms (fractional coordinates):
Sc 0.000 0.000 0.000
Nb 0.000 0.000 0.500
Nb 0.500 0.500 0.000
Nb 0.500 0.500 0.500
Tc 0.000 0.500 0.254
Tc 0.000 0.500 0.746
Tc 0.500 0.000 0.254
Tc 0.500 0.000 0.746

Results
calculated total energy = -10.084 eV/atom
symmetry = P4/mmm

=====

The following is a DFT calculation (GGA-PBE) of ScNb2Tc after structural relaxation.

abc: 3.190 3.190 7.177
angles: 90.00 90.00 90.00
Atoms (fractional coordinates):
Sc 0.000 0.000 0.000
Nb 0.500 0.500 0.283
Nb 0.500 0.500 0.717
Tc 0.000 0.000 0.500

Results
ΔE to the lowest computed polymorph = 92 meV/atom
symmetry = P4/mmm

=====

The following is a DFT calculation (GGA-PBE) of ScNb2Tc after structural relaxation.

abc: 4.633 4.633 4.633
angles: 60.00 60.00 60.00
Atoms (fractional coordinates):
Sc 0.000 0.000 0.000
Nb 0.250 0.250 0.250
Nb 0.750 0.750 0.750
Tc 0.500 0.500 0.500

Results
ΔE to the lowest computed polymorph = 144 meV/atom
symmetry = Fm-3m

=====

The following is a DFT calculation (GGA-PBE) of Sc2NbTc2 after structural relaxation.

abc: 6.566 6.566 4.458
angles: 90.00 90.00 90.00
Atoms (fractional coordinates):
Sc 0.174 0.326 0.000
Sc 0.326 0.826 0.000
Sc 0.674 0.174 0.000
Sc 0.826 0.674 0.000
Nb 0.000 0.000 0.500
Nb 0.500 0.500 0.500
Tc 0.131 0.631 0.500
Tc 0.369 0.131 0.500
Tc 0.631 0.869 0.500
Tc 0.869 0.369 0.500

Results
calculated total energy = -8.761 eV/atom
symmetry = P4/mbm

=====

The following is a DFT calculation (GGA-PBE) of ScNb5Tc6 after structural relaxation.

abc: 7.837 7.837 7.837
angles: 146.52 131.82 59.94
Atoms (fractional coordinates):
Sc 0.000 0.000 0.000
Nb 0.166 0.666 0.500
Nb 0.334 0.334 0.000
Nb 0.500 0.000 0.500
Nb 0.666 0.666 0.000
Nb 0.834 0.334 0.500
Tc 0.084 0.831 0.252
Tc 0.255 0.500 0.755
Tc 0.421 0.169 0.252
Tc 0.579 0.831 0.748
Tc 0.745 0.500 0.245
Tc 0.916 0.169 0.748

Results
calculated total energy = -10.252 eV/atom
symmetry = Immm

=====

The following is a DFT calculation (GGA-PBE) of ScNbTc3 after structural relaxation.

abc: 4.723 4.723 4.723
angles: 90.00 90.00 90.00
Atoms (fractional coordinates):
Sc 0.000 0.000 0.000
Nb 0.500 0.500 0.500
Tc 0.000 0.500 0.500
Tc 0.500 0.000 0.500
Tc 0.500 0.500 0.000

Results
ΔE to the lowest computed polymorph = 0 meV/atom
symmetry = Pm-3m

=====

The following is a DFT calculation (GGA-PBE) of ScNb2Tc after structural relaxation.

abc: 5.983 5.983 5.983
angles: 102.79 102.79 123.86
Atoms (fractional coordinates):
Sc 0.000 0.000 0.000
Sc 0.750 0.250 0.500
Nb 0.168 0.625 0.043
Nb 0.375 0.418 0.543
Nb 0.582 0.125 0.957
Nb 0.875 0.832 0.457
Tc 0.250 0.750 0.500
Tc 0.500 0.500 0.000

Results
ΔE to the lowest computed polymorph = 503 meV/atom
symmetry = I-42d

=====

The following is a DFT calculation (GGA-PBE) of ScTiNbTc after structural relaxation.

abc: 4.626 4.626 4.626
angles: 60.00 60.00 60.00
Atoms (fractional coordinates):
Sc 0.000 0.000 0.000
Ti 0.250 0.250 0.250
Nb 0.500 0.500 0.500
Tc 0.750 0.750 0.750

Results
calculated total energy = -8.732 eV/atom
symmetry = F-43m

=====

The following is a DFT calculation (GGA-PBE) of ScNbVTc after structural relaxation.

abc: 4.582 4.582 4.582
angles: 60.00 60.00 60.00
Atoms (fractional coordinates):
Sc 0.000 0.000 0.000
Nb 0.500 0.500 0.500
V 0.750 0.750 0.750
Tc 0.250 0.250 0.250

Results
calculated total energy = -9.025 eV/atom
symmetry = F-43m

=====

The following is a DFT calculation (GGA-PBE) of ScNbTcW after structural relaxation.

abc: 4.574 4.574 4.574
angles: 60.00 60.00 60.00
Atoms (fractional coordinates):
Sc 0.000 0.000 0.000
Nb 0.250 0.250 0.250
Tc 0.750 0.750 0.750
W 0.500 0.500 0.500

Results
calculated total energy = -9.931 eV/atom
symmetry = F-43m

=====

The following is a DFT calculation (GGA-PBE) of ScNbTe2 after structural relaxation.

abc: 9.820 9.820 9.820
angles: 21.02 21.02 21.02
Atoms (fractional coordinates):
Sc 0.000 0.000 0.000
Nb 0.500 0.500 0.500
Te 0.101 0.101 0.101
Te 0.899 0.899 0.899

Results
raw formation energy = -0.243 eV per atom
ΔE to the lowest computed polymorph = 309 meV/atom
symmetry = R-3m

=====

The following is a DFT calculation (GGA-PBE) of Sc4NbTe2 after structural relaxation.

abc: 8.333 8.333 8.333
angles: 145.13 145.13 50.14
Atoms (fractional coordinates):
Sc 0.000 0.500 0.500
Sc 0.174 0.174 0.000
Sc 0.500 0.000 0.500
Sc 0.826 0.826 0.000
Nb 0.000 0.000 0.000
Te 0.364 0.364 0.000
Te 0.636 0.636 0.000

Results
raw formation energy = 0.004 eV per atom
symmetry = I4/mmm

=====

The following is a DFT calculation (GGA-PBE) of Sc2Nb2Te after structural relaxation.

abc: 7.200 7.200 4.253
angles: 90.00 90.00 90.00
Atoms (fractional coordinates):
Sc 0.166 0.334 0.000
Sc 0.334 0.834 0.000
Sc 0.666 0.166 0.000
Sc 0.834 0.666 0.000
Nb 0.127 0.627 0.500
Nb 0.373 0.127 0.500
Nb 0.627 0.873 0.500
Nb 0.873 0.373 0.500
Te 0.000 0.000 0.500
Te 0.500 0.500 0.500

Results
raw formation energy = -0.026 eV per atom
ΔE to the lowest computed polymorph = 0 meV/atom
symmetry = P4/mbm

=====

The following is a DFT calculation (GGA-PBE) of Sc2Nb2Te after structural relaxation.

abc: 7.595 7.595 7.595
angles: 149.41 149.41 43.81
Atoms (fractional coordinates):
Sc 0.250 0.750 0.500
Sc 0.750 0.250 0.500
Nb 0.091 0.091 0.000
Nb 0.909 0.909 0.000
Te 0.500 0.500 0.000

Results
raw formation energy = 0.633 eV per atom
ΔE to the lowest computed polymorph = 659 meV/atom
symmetry = I4/mmm

=====

The following is a DFT calculation (GGA-PBE) of ScNbTe2 after structural relaxation.

abc: 4.951 4.951 4.951
angles: 60.00 60.00 60.00
Atoms (fractional coordinates):
Sc 0.000 0.000 0.000
Nb 0.500 0.500 0.500
Te 0.250 0.250 0.250
Te 0.750 0.750 0.750

Results
raw formation energy = -0.552 eV per atom
ΔE to the lowest computed polymorph = 0 meV/atom
symmetry = Fm-3m

=====

The following is a DFT calculation (GGA-PBE) of Sc3NbTe after structural relaxation.

abc: 5.203 5.203 5.203
angles: 90.00 90.00 90.00
Atoms (fractional coordinates):
Sc 0.000 0.000 0.500
Sc 0.000 0.500 0.000
Sc 0.500 0.000 0.000
Nb 0.500 0.500 0.500
Te 0.000 0.000 0.000

Results
raw formation energy = 0.589 eV per atom
ΔE to the lowest computed polymorph = 197 meV/atom
symmetry = Pm-3m

=====

The following is a DFT calculation (GGA-PBE) of ScNbTe2 after structural relaxation.

abc: 8.003 8.003 8.003
angles: 132.90 132.90 68.81
Atoms (fractional coordinates):
Sc 0.000 0.000 0.000
Sc 0.750 0.250 0.500
Nb 0.250 0.750 0.500
Nb 0.500 0.500 0.000
Te 0.133 0.625 0.008
Te 0.375 0.383 0.508
Te 0.617 0.125 0.992
Te 0.875 0.867 0.492

Results
raw formation energy = -0.113 eV per atom
ΔE to the lowest computed polymorph = 440 meV/atom
symmetry = I-42d

=====

The following is a DFT calculation (GGA-PBE) of Sc3NbTe after structural relaxation.

abc: 5.126 5.126 5.126
angles: 90.00 90.00 90.00
Atoms (fractional coordinates):
Sc 0.000 0.000 0.500
Sc 0.000 0.500 0.000
Sc 0.500 0.000 0.000
Nb 0.000 0.000 0.000
Te 0.500 0.500 0.500

Results
raw formation energy = 0.392 eV per atom
ΔE to the lowest computed polymorph = 0 meV/atom
symmetry = Pm-3m

=====

The following is a DFT calculation (GGA-PBE) of ScNb4Te8 after structural relaxation.

abc: 7.516 7.516 8.417
angles: 116.58 116.58 59.93
Atoms (fractional coordinates):
Sc 0.000 0.000 0.000
Nb 0.000 0.000 0.500
Nb 0.000 0.500 0.500
Nb 0.500 0.000 0.500
Nb 0.500 0.500 0.500
Te 0.251 0.251 0.752
Te 0.253 0.253 0.247
Te 0.253 0.741 0.247
Te 0.259 0.747 0.753
Te 0.741 0.253 0.247
Te 0.747 0.259 0.753
Te 0.747 0.747 0.753
Te 0.749 0.749 0.248

Results
raw formation energy = -0.472 eV per atom
symmetry = C2/m

=====

The following is a DFT calculation (GGA-PBE) of ThScNb after structural relaxation.

abc: 5.715 5.715 5.715
angles: 141.49 141.49 55.59
Atoms (fractional coordinates):
Th 0.000 0.000 0.000
Sc 0.310 0.310 0.000
Nb 0.664 0.664 0.000

Results
ΔE to the lowest computed polymorph = 0 meV/atom
symmetry = I4mm

=====

The following is a DFT calculation (GGA-PBE) of Th2ScNb after structural relaxation.

abc: 5.295 5.295 5.295
angles: 60.00 60.00 60.00
Atoms (fractional coordinates):
Th 0.250 0.250 0.250
Th 0.750 0.750 0.750
Sc 0.000 0.000 0.000
Nb 0.500 0.500 0.500

Results
ΔE to the lowest computed polymorph = 38 meV/atom
symmetry = Fm-3m

=====

The following is a DFT calculation (GGA-PBE) of ThSc2Nb after structural relaxation.

abc: 4.407 4.407 4.911
angles: 90.00 90.00 90.00
Atoms (fractional coordinates):
Th 0.000 0.000 0.000
Sc 0.000 0.500 0.500
Sc 0.500 0.000 0.500
Nb 0.500 0.500 0.000

Results
ΔE to the lowest computed polymorph = 0 meV/atom
symmetry = P4/mmm

=====

The following is a DFT calculation (GGA-PBE) of Th2ScNb after structural relaxation.

abc: 3.703 3.703 7.762
angles: 90.00 90.00 90.00
Atoms (fractional coordinates):
Th 0.000 0.000 0.229
Th 0.000 0.000 0.771
Sc 0.500 0.500 0.500
Nb 0.500 0.500 0.000

Results
ΔE to the lowest computed polymorph = 0 meV/atom
symmetry = P4/mmm

=====

The following is a DFT calculation (GGA-PBE) of ThSc2Nb after structural relaxation.

abc: 11.309 11.309 11.309
angles: 16.26 16.26 16.26
Atoms (fractional coordinates):
Th 0.000 0.000 0.000
Sc 0.096 0.096 0.096
Sc 0.904 0.904 0.904
Nb 0.500 0.500 0.500

Results
ΔE to the lowest computed polymorph = 147 meV/atom
symmetry = R-3m

=====

The following is a DFT calculation (GGA-PBE) of ThScNb after structural relaxation.

abc: 13.636 13.636 13.636
angles: 165.49 165.49 20.57
Atoms (fractional coordinates):
Th 0.146 0.146 0.000
Th 0.854 0.854 0.000
Sc 0.439 0.439 0.000
Sc 0.561 0.561 0.000
Nb 0.278 0.278 0.000
Nb 0.722 0.722 0.000

Results
ΔE to the lowest computed polymorph = 70 meV/atom
symmetry = I4/mmm

=====

The following is a DFT calculation (GGA-PBE) of ThSc2Nb after structural relaxation.

abc: 3.722 3.722 6.976
angles: 90.00 90.00 90.00
Atoms (fractional coordinates):
Th 0.000 0.000 0.000
Sc 0.500 0.500 0.293
Sc 0.500 0.500 0.707
Nb 0.000 0.000 0.500

Results
ΔE to the lowest computed polymorph = 58 meV/atom
symmetry = P4/mmm

=====

The following is a DFT calculation (GGA-PBE) of Th2ScNb after structural relaxation.

abc: 11.716 11.716 11.716
angles: 16.17 16.17 16.17
Atoms (fractional coordinates):
Th 0.084 0.084 0.084
Th 0.916 0.916 0.916
Sc 0.500 0.500 0.500
Nb 0.000 0.000 0.000

Results
ΔE to the lowest computed polymorph = 372 meV/atom
symmetry = R-3m

=====

| no. | volume (Å³/atom) |
| --- | --- |
| 1 | 16.38 |
| 2 | 18.26 |
| 3 | 17.58 |
| 4 | 19.22 |
| 5 | 16.34 |
| 6 | 21.07 |
| 7 | 19.62 |
| 8 | 17.50 |
| 9 | 17.01 |
| 10 | 16.91 |
| 11 | 26.68 |
| 12 | 26.89 |
| 13 | 22.05 |
| 14 | 22.63 |
| 15 | 21.45 |
| 16 | 28.18 |
| 17 | 33.76 |
| 18 | 26.94 |
| 19 | 27.10 |
| 20 | 23.94 |
| 21 | 26.24 |
| 22 | 23.85 |
| 23 | 26.60 |
| 24 | 24.71 |
| 25 | 26.52 |
| 26 | 24.16 |
| 27 | 27.19 |